A plane-wave DFT calculation with meta-GGA SCAN was carried out for a PBEsol-optimized structure of RbTiCl2.

Lattice parameters (Å, degrees): 3.758 3.758 9.353 78.41 78.41 60.00
Last column: magnetic moment on the atom in μB.
Positions (direct):
Ti  0.000  0.000  0.000  1.65
Rb  0.500  0.500  0.500  0.00
Cl  0.914  0.914  0.258  -0.01
Cl  0.086  0.086  0.742  -0.01

## Properties
**Energy relative to the elements, uncorrected**: -1122 meV per atom
**Symmetry**: R-3m

=====

A plane-wave DFT calculation with meta-GGA SCAN was carried out for a PBEsol-optimized structure of RbTi2Cl.

Lattice parameters (Å, degrees): 5.142 5.142 5.142 60.00 60.00 60.00
Last column: magnetic moment on the atom in μB.
Positions (direct):
Ti  0.250  0.250  0.250  2.42
Ti  0.750  0.750  0.750  2.42
Rb  0.500  0.500  0.500  0.27
Cl  0.000  0.000  0.000  0.07

## Properties
**Energy relative to the elements, uncorrected**: 1157 meV per atom
**Symmetry**: Fm-3m

=====

A plane-wave DFT calculation with meta-GGA SCAN was carried out for a PBEsol-optimized structure of Rb3TmCl6.

Lattice parameters (Å, degrees): 7.918 7.918 7.918 60.00 60.00 60.00
Positions (direct):
Tm  0.000  0.000  0.000
Cl  0.771  0.229  0.229
Cl  0.771  0.771  0.229
Rb  0.250  0.250  0.250
Cl  0.229  0.771  0.229
Rb  0.750  0.750  0.750
Cl  0.229  0.229  0.771
Cl  0.771  0.229  0.771
Cl  0.229  0.771  0.771
Rb  0.500  0.500  0.500

## Properties
**Energy relative to the elements, uncorrected**: -2316 meV per atom
**Symmetry**: Fm-3m

=====

A plane-wave DFT calculation with meta-GGA SCAN was carried out for a PBEsol-optimized structure of Rb2UCl5.

Lattice parameters (Å, degrees): 8.170 8.698 13.131 90.00 90.00 90.00
Last column: magnetic moment on the atom in μB.
Positions (direct):
Rb  0.052  0.995  0.828  0.00
Cl  0.660  0.042  0.923  -0.01
Rb  0.552  0.495  0.672  0.00
Cl  0.341  0.250  0.801  -0.01
Cl  0.340  0.958  0.077  -0.01
U  0.433  0.250  0.003  2.88
Cl  0.160  0.542  0.577  -0.01
U  0.567  0.750  0.997  2.88
Cl  0.377  0.750  0.824  -0.01
Cl  0.093  0.250  0.009  -0.01
Cl  0.877  0.250  0.676  -0.01
Cl  0.907  0.750  0.991  -0.01
Cl  0.840  0.042  0.423  -0.01
U  0.933  0.750  0.497  2.88
Cl  0.659  0.750  0.199  -0.01
Cl  0.407  0.250  0.509  -0.01
Rb  0.552  0.005  0.672  0.00
Cl  0.623  0.250  0.176  -0.01
U  0.067  0.250  0.503  2.88
Rb  0.948  0.005  0.172  0.00
Cl  0.840  0.458  0.423  -0.01
Cl  0.123  0.750  0.324  -0.01
Rb  0.052  0.505  0.828  0.00
Cl  0.159  0.250  0.301  -0.01
Rb  0.448  0.505  0.328  0.00
Cl  0.841  0.750  0.699  -0.01
Rb  0.948  0.495  0.172  0.00
Cl  0.660  0.458  0.923  -0.01
Cl  0.593  0.750  0.491  -0.01
Cl  0.160  0.958  0.577  -0.01
Cl  0.340  0.542  0.077  -0.01
Rb  0.448  0.995  0.328  0.00

## Properties
**Energy relative to the elements, uncorrected**: -2137 meV per atom
**Symmetry**: Pnma

=====

A plane-wave DFT calculation with meta-GGA SCAN was carried out for a PBEsol-optimized structure of Rb2VCl6.

Lattice parameters (Å, degrees): 6.933 6.933 6.933 60.00 60.00 60.00
Last column: magnetic moment on the atom in μB.
Positions (direct):
Rb  0.750  0.750  0.750  0.00
Cl  0.235  0.765  0.235  -0.03
Cl  0.765  0.235  0.235  -0.03
Cl  0.765  0.765  0.235  -0.03
Rb  0.250  0.250  0.250  0.00
Cl  0.765  0.235  0.765  -0.03
Cl  0.235  0.765  0.765  -0.03
V  0.000  0.000  0.000  1.09
Cl  0.235  0.235  0.765  -0.03

## Properties
**Energy relative to the elements, uncorrected**: -1767 meV per atom
**Symmetry**: Fm-3m

=====

A plane-wave DFT calculation with meta-GGA SCAN was carried out for a PBEsol-optimized structure of RbW3Cl9.

Lattice parameters (Å, degrees): 8.356 9.412 9.412 120.00 90.00 90.00
Last column: magnetic moment on the atom in μB.
Positions (direct):
Cl  0.683  0.799  0.801  0.00
Cl  0.317  0.801  0.002  0.00
Cl  0.683  0.199  0.998  0.00
W  0.875  0.182  0.180  0.27
W  0.125  0.002  0.182  0.27
Cl  0.000  0.786  0.579  0.02
Cl  0.303  0.607  0.611  0.00
Cl  0.317  0.998  0.799  0.00
Cl  0.000  0.579  0.793  0.02
Cl  0.000  0.207  0.786  0.02
W  0.875  0.820  0.002  0.27
Cl  0.303  0.389  0.996  0.00
Cl  0.000  0.793  0.214  0.02
W  0.875  0.998  0.818  0.27
Cl  0.317  0.201  0.199  0.00
Cl  0.000  0.214  0.421  0.02
Rb  0.495  0.667  0.333  0.00
Cl  0.697  0.393  0.389  0.00
W  0.125  0.180  0.998  0.27
Cl  0.000  0.421  0.207  0.02
Rb  0.505  0.333  0.667  0.00
Cl  0.697  0.996  0.607  0.00
Cl  0.303  0.004  0.393  0.00
Cl  0.697  0.611  0.004  0.00
W  0.125  0.818  0.820  0.27
Cl  0.683  0.002  0.201  0.00

## Properties
**Energy relative to the elements, uncorrected**: -1051 meV per atom
**Symmetry**: P-3

=====

A plane-wave DFT calculation with meta-GGA SCAN was carried out for a PBEsol-optimized structure of RbW2Cl2.

Lattice parameters (Å, degrees): 3.588 3.588 9.279 101.15 101.15 90.00
Positions (direct):
W  0.250  0.750  0.500
Cl  0.610  0.610  0.220
Cl  0.390  0.390  0.780
Rb  0.000  0.000  0.000
W  0.750  0.250  0.500

## Properties
**Energy relative to the elements, uncorrected**: 297 meV per atom
**Symmetry**: I4/mmm

=====

A plane-wave DFT calculation with meta-GGA SCAN was carried out for a PBEsol-optimized structure of RbWCl2.

Lattice parameters (Å, degrees): 5.174 5.174 5.174 60.00 60.00 60.00
Last column: magnetic moment on the atom in μB.
Positions (direct):
Cl  0.250  0.250  0.250  0.05
Cl  0.750  0.750  0.750  0.05
W  0.500  0.500  0.500  3.56
Rb  0.000  0.000  0.000  0.04

## Properties
**Energy relative to the elements, uncorrected**: 433 meV per atom
**Symmetry**: Fm-3m

=====

A plane-wave DFT calculation with meta-GGA SCAN was carried out for a PBEsol-optimized structure of RbYWCl2.

Lattice parameters (Å, degrees): 5.336 5.336 5.590 90.00 90.00 90.00
Last column: magnetic moment on the atom in μB.
Positions (direct):
Cl  0.500  0.000  0.000  0.03
Y  0.000  0.000  0.000  0.02
Cl  0.000  0.500  0.000  0.03
W  0.000  0.000  0.500  2.73
Rb  0.500  0.500  0.500  0.03

## Properties
**Energy relative to the elements, uncorrected**: -138 meV per atom
**Symmetry**: P4/mmm

=====

A plane-wave DFT calculation with meta-GGA SCAN was carried out for a PBEsol-optimized structure of RbY2Cl7.

Lattice parameters (Å, degrees): 6.863 12.482 13.071 90.00 90.00 90.00
Positions (direct):
Cl  0.250  0.189  0.892
Cl  0.990  0.422  0.878
Cl  0.750  0.811  0.108
Cl  0.490  0.039  0.129
Y  0.250  0.343  0.747
Cl  0.010  0.039  0.129
Cl  0.490  0.461  0.629
Cl  0.994  0.807  0.326
Cl  0.250  0.311  0.392
Y  0.750  0.843  0.753
Cl  0.010  0.922  0.622
Cl  0.010  0.461  0.629
Y  0.250  0.040  0.738
Cl  0.990  0.078  0.378
Y  0.250  0.157  0.247
Cl  0.506  0.693  0.826
Cl  0.510  0.539  0.371
Rb  0.250  0.696  0.540
Y  0.750  0.960  0.262
Cl  0.990  0.539  0.371
Y  0.750  0.657  0.253
Cl  0.006  0.193  0.674
Cl  0.990  0.961  0.871
Rb  0.750  0.304  0.460
Cl  0.490  0.922  0.622
Cl  0.494  0.193  0.674
Cl  0.010  0.578  0.122
Y  0.750  0.540  0.762
Rb  0.750  0.196  0.960
Cl  0.994  0.693  0.826
Rb  0.250  0.804  0.040
Cl  0.510  0.422  0.878
Cl  0.490  0.578  0.122
Cl  0.006  0.307  0.174
Cl  0.506  0.807  0.326
Y  0.250  0.460  0.238
Cl  0.510  0.961  0.871
Cl  0.494  0.307  0.174
Cl  0.510  0.078  0.378
Cl  0.750  0.689  0.608

## Properties
**Energy relative to the elements, uncorrected**: -2534 meV per atom
**Symmetry**: Pnma

=====

A plane-wave DFT calculation with meta-GGA SCAN was carried out for a PBEsol-optimized structure of Rb2YCl5.

Lattice parameters (Å, degrees): 7.255 9.338 14.562 90.00 90.00 90.00
Positions (direct):
Y  0.250  0.190  0.063
Cl  0.487  0.148  0.613
Rb  0.250  0.671  0.086
Rb  0.750  0.530  0.291
Cl  0.487  0.648  0.887
Y  0.750  0.810  0.937
Cl  0.500  0.000  0.000
Cl  0.987  0.352  0.113
Cl  0.250  0.781  0.607
Cl  0.750  0.219  0.393
Cl  0.750  0.968  0.792
Rb  0.750  0.030  0.209
Y  0.250  0.690  0.437
Cl  0.250  0.032  0.208
Cl  0.000  0.000  0.000
Cl  0.750  0.719  0.107
Cl  0.013  0.148  0.613
Cl  0.987  0.852  0.387
Cl  0.513  0.852  0.387
Rb  0.750  0.829  0.586
Cl  0.250  0.532  0.292
Cl  0.000  0.500  0.500
Cl  0.013  0.648  0.887
Y  0.750  0.310  0.563
Rb  0.250  0.970  0.791
Cl  0.750  0.468  0.708
Rb  0.250  0.470  0.709
Cl  0.513  0.352  0.113
Cl  0.250  0.281  0.893
Rb  0.750  0.329  0.914
Cl  0.500  0.500  0.500
Rb  0.250  0.171  0.414

## Properties
**Energy relative to the elements, uncorrected**: -2424 meV per atom
**Symmetry**: Pnma

=====

A plane-wave DFT calculation with meta-GGA SCAN was carried out for a PBEsol-optimized structure of RbYCl2.

Lattice parameters (Å, degrees): 6.875 6.875 8.025 115.36 115.36 90.00
Last column: magnetic moment on the atom in μB.
Positions (direct):
Cl  0.625  0.690  0.750  0.03
Y  0.250  0.750  0.500  0.65
Rb  0.500  0.500  0.000  0.04
Cl  0.940  0.375  0.250  0.03
Cl  0.310  0.875  0.250  0.03
Cl  0.125  0.060  0.750  0.03
Rb  0.750  0.250  0.500  0.04
Y  0.000  0.000  0.000  0.65

## Properties
**Energy relative to the elements, uncorrected**: -1416 meV per atom
**Symmetry**: I-42d

=====

> Among the records above, which one has the highest energy relative to the elements, uncorrected?

RbTi2Cl

=====

> What is the energy relative to the elements, uncorrected in the seventh record?

297 meV per atom

=====

> The lowest energy relative to the elements, uncorrected belongs to which entry?

RbY2Cl7

=====

> Look up the energy relative to the elements, uncorrected of the second one.

1157 meV per atom